# CaTbTmTl (GGA-PBE, optimized geometry)
# ΔH_f (0 K)	0.0	eV/f.u.
# VASP energy	-3.369	eV/atom
data_CaTbTmTl
_space_group_name_H-M_alt 'F -4 3 m'
_space_group_IT_number 216
_space_group_name_Hall 'F -4 2 3'
_cell_length_a 7.8387
_cell_length_b 7.8387
_cell_length_c 7.8387
_cell_angle_alpha 90.00
_cell_angle_beta 90.00
_cell_angle_gamma 90.00
loop_
_atom_site_label
_atom_site_type_symbol
_atom_site_fract_x
_atom_site_fract_y
_atom_site_fract_z
_atom_site_occupancy
Ca1 Ca 0.0000 0.0000 0.0000 1
Tb1 Tb 0.0000 0.0000 0.5000 1
Tm1 Tm 0.2500 0.2500 0.2500 1
Tl1 Tl 0.2500 0.2500 0.7500 1